# 1
DFT (GGA-PBE) results for a relaxed structure of Sm5ErSb6.

Summary:
* symmetry: No. 12
* raw formation energy: -1.161 eV/atom
* total moment: 0.0 μB per cell
* density: 7.32 g/cm³

abc: 7.712 7.712 7.712
angles: 99.61 99.61 120.01
Fractional coordinates of all 12 atoms:
Sm 0.000 0.000 0.000
Sm 0.166 0.834 0.500
Sm 0.332 0.668 0.000
Sm 0.668 0.332 0.000
Sm 0.834 0.166 0.500
Er 0.500 0.500 0.500
Sb 0.089 0.418 0.253
Sb 0.254 0.254 0.748
Sb 0.418 0.089 0.253
Sb 0.582 0.911 0.747
Sb 0.746 0.746 0.252
Sb 0.911 0.582 0.747



# 2
DFT (GGA-PBE) results for a relaxed structure of ZrAsRu2.

Summary:
* symmetry: No. 122
* total moment: 0.0 μB per cell
* energy relative to the elements: 0.0206 eV/atom
* density: 8.67 g/cm³

abc: 5.745 5.745 5.745
angles: 103.79 103.79 121.56
Fractional coordinates of all 8 atoms:
Zr 0.000 0.000 0.000
Zr 0.750 0.250 0.500
As 0.250 0.750 0.500
As 0.500 0.500 0.000
Ru 0.182 0.625 0.057
Ru 0.375 0.432 0.557
Ru 0.568 0.125 0.943
Ru 0.875 0.818 0.443



> What is the formula in the first record?

Sm5ErSb6



> What is the total moment in the second record?

0.0 μB per cell



> Look up the total moment of the first one.

0.0 μB per cell